InNi2TeO6 | the Alexandria database | PBE+U | optimized geometry; uncorrected energy = -5.205 eV per atom; crystal system = trigonal; magnetic moment = 0.35 μB/atom; calculated density = 6.41 Mg/m³; V = 11.8 A^3/atom
1.0
2.676 1.545 4.759
-2.676 1.545 4.759
0.000 -3.090 4.759
In Ni Te O
1 2 1 6
direct
0.000 0.000 0.000
0.208 0.208 0.208
0.713 0.713 0.713
0.509 0.509 0.509
0.108 0.420 0.806
0.324 0.904 0.590
0.420 0.806 0.108
0.590 0.324 0.904
0.806 0.108 0.420
0.904 0.590 0.324